Below is crystalline V3CdN at its relaxed geometry, with properties calculated at the PBE-GGA level.

Cell and atoms, written as CIF:
```
data_V3CdN
_symmetry_space_group_name_H-M 'P 1'
_symmetry_Int_Tables_number 1
_cell_length_a 5.002
_cell_length_b 5.002
_cell_length_c 5.002
_cell_angle_alpha 90.00
_cell_angle_beta 90.00
_cell_angle_gamma 90.00
loop_
_symmetry_equiv_pos_as_xyz
'x,y,z'
loop_
_atom_site_label
_atom_site_fract_x
_atom_site_fract_y
_atom_site_fract_z
V1 0.000 0.000 0.500
V2 0.000 0.500 0.000
V3 0.500 0.000 0.000
Cd1 0.000 0.000 0.000
N1 0.500 0.500 0.500
```

- calculated volume (Å³/cell) = 125
- total magnetization (μB per formula unit) = 7.5
- energy above the lowest structure with this stoichiometry (eV/atom) = 3.038
- ΔE_f (raw) (eV/atom) = 2.6761


Below is crystalline VCdN2 at its relaxed geometry, with properties calculated at the PBE-GGA level.

Cell and atoms, written as CIF:
```
data_VCdN2
_symmetry_space_group_name_H-M 'P 1'
_symmetry_Int_Tables_number 1
_cell_length_a 5.729
_cell_length_b 5.729
_cell_length_c 5.729
_cell_angle_alpha 129.42
_cell_angle_beta 129.42
_cell_angle_gamma 74.34
loop_
_symmetry_equiv_pos_as_xyz
'x,y,z'
loop_
_atom_site_label
_atom_site_fract_x
_atom_site_fract_y
_atom_site_fract_z
V1 0.000 0.000 0.000
V2 0.750 0.250 0.500
Cd1 0.250 0.750 0.500
Cd2 0.500 0.500 0.000
N1 0.050 0.625 0.925
N2 0.375 0.300 0.425
N3 0.700 0.125 0.075
N4 0.875 0.950 0.575
```

- calculated volume (Å³/cell) = 109
- total magnetization (μB per formula unit) = 0.9
- ΔE_f (raw) (eV/atom) = -0.2970